Ac6Sb3TeS2 after structural relaxation, computed with PBE.

Output
Space-group type ... C2/m, No. 12
VASP energy ... -66.50 eV/cell
D(E_F) ... 0.396 states/eV per atom
Density ... 7551 kg/m³
Uncorrected formation energy ... -1.51 eV per atom
Calculated volume ... 422.0 Å³/cell

Lattice parameters (Å, degrees): 8.064 8.064 7.951 99.78 99.78 119.83
Fractional positions:
Ac: 0.920 0.572 0.758
Ac: 0.730 0.730 0.236
Ac: 0.080 0.428 0.242
Ac: 0.572 0.920 0.758
Ac: 0.270 0.270 0.764
Ac: 0.428 0.080 0.242
Sb: 0.160 0.840 0.500
Sb: 0.840 0.160 0.500
Sb: 0.500 0.500 0.500
Te: 0.000 0.000 0.000
S: 0.332 0.668 0.000
S: 0.668 0.332 0.000

=====

LaMgNi2Ge2 after structural relaxation, computed with PBE.

Output
Formation energy from the elements ... -0.605 eV/atom
Space-group type ... P-3m1, No. 164
VASP energy ... -30.95 eV/cell
D(E_F) ... 0.588 states/eV per atom
Density ... 6570 kg/m³
Calculated volume ... 107.6 Å³/cell

Lattice parameters (Å, degrees): 4.196 4.196 7.058 90.00 90.00 120.00
Fractional positions:
La: 0.000 0.000 0.000
Mg: 0.000 0.000 0.500
Ni: 0.667 0.333 0.344
Ni: 0.333 0.667 0.656
Ge: 0.667 0.333 0.711
Ge: 0.333 0.667 0.289

=====

LaLuRhAu after structural relaxation, computed with PBE.

Output
Formation energy from the elements ... -0.755 eV/atom
Space-group type ... F-43m, No. 216
VASP energy ... -23.10 eV/cell
D(E_F) ... 0.918 states/eV per atom
Density ... 11122 kg/m³
Calculated volume ... 91.6 Å³/cell

Lattice parameters (Å, degrees): 5.060 5.060 5.060 60.00 60.00 60.00
Fractional positions:
Au: 0.000 0.000 0.000
Lu: 0.750 0.750 0.750
Rh: 0.500 0.500 0.500
La: 0.250 0.250 0.250

=====

Tl5HgBi after structural relaxation, computed with PBE.

Output
Formation energy from the elements ... 0.032 eV/atom
Space-group type ... C2/c, No. 15
VASP energy ... -31.58 eV/cell
Energy above the lowest structure with this stoichiometry ... 0.0320 eV per atom
D(E_F) ... 0.380 states/eV per atom
Density ... 10517 kg/m³
Calculated volume ... 452.0 Å³/cell

Lattice parameters (Å, degrees): 6.778 6.778 11.522 80.24 80.24 60.56
Fractional positions:
Tl: 0.910 0.623 0.171
Tl: 0.265 0.446 0.535
Tl: 0.623 0.910 0.671
Tl: 0.847 0.153 0.250
Tl: 0.554 0.735 0.965
Tl: 0.446 0.265 0.035
Tl: 0.153 0.847 0.750
Tl: 0.377 0.090 0.329
Tl: 0.735 0.554 0.465
Tl: 0.090 0.377 0.829
Hg: 0.000 0.000 0.000
Hg: 0.000 0.000 0.500
Bi: 0.360 0.640 0.250
Bi: 0.640 0.360 0.750